# PBE CeDy2PuO8, relaxed
# Calculated volume: 154.6 Å³/cell
# Uncorrected energy: -107.604 eV/cell
# Spin magnetization: 0.1667 μB per atom
data_CeDy2PuO8
_chemical_formula_sum 'Ce1 Dy2 Pu1 O8'
_symmetry_space_group_name_H-M 'P -1'
_symmetry_Int_Tables_number 2
_symmetry_space_group_name_Hall '-P 1'
_cell_length_a 3.813
_cell_length_b 5.369
_cell_length_c 7.554
_cell_angle_alpha 89.84
_cell_angle_beta 90.00
_cell_angle_gamma 89.85
loop_
_atom_site_label
_atom_site_type_symbol
_atom_site_fract_x
_atom_site_fract_y
_atom_site_fract_z
Ce1 Ce 0.000 0.000 0.000
Dy1 Dy 0.500 0.500 0.251
Pu1 Pu 0.000 0.000 0.500
O1 O 0.001 0.240 0.270
O2 O 0.001 0.242 0.732
O3 O 0.499 0.770 0.499
O4 O 0.500 0.249 0.001